DFT (PBE-GGA) results for an optimized crystal structure of Pr2Y8Er3.

energy above the lowest structure with this stoichiometry = 0.0914 eV per atom
formation enthalpy at 0 K = 0.2400 eV per atom

Lattice parameters (Å, degrees): 5.584 7.627 11.094 110.11 90.00 90.00
Sites, in units of the cell vectors:
Pr  0.500  0.240  0.481
Pr  0.500  0.760  0.519
Y  0.000  0.662  0.325
Y  0.000  0.338  0.675
Y  0.000  0.129  0.257
Y  0.000  0.871  0.743
Y  0.500  0.608  0.790
Y  0.500  0.182  0.790
Y  0.500  0.818  0.210
Y  0.500  0.392  0.210
Er  0.500  0.000  0.000
Er  0.000  0.284  0.000
Er  0.000  0.716  0.000


DFT (PBE-GGA) results for an optimized crystal structure of CaOsPb2O6.

uncorrected formation energy = -1.50 eV per atom

Lattice parameters (Å, degrees): 5.824 5.937 8.304 90.00 89.90 90.00
Sites, in units of the cell vectors:
Ca  0.500  0.000  0.000
Ca  0.000  0.500  0.500
Os  0.500  0.000  0.500
Os  0.000  0.500  0.000
Pb  0.008  0.961  0.252
Pb  0.508  0.539  0.752
Pb  0.992  0.039  0.748
Pb  0.492  0.461  0.248
O  0.269  0.685  0.044
O  0.769  0.815  0.544
O  0.731  0.315  0.956
O  0.231  0.185  0.456
O  0.322  0.730  0.450
O  0.822  0.770  0.950
O  0.678  0.270  0.550
O  0.178  0.230  0.050
O  0.909  0.530  0.226
O  0.409  0.970  0.726
O  0.091  0.470  0.774
O  0.591  0.030  0.274


DFT (PBE-GGA) results for an optimized crystal structure of ScPdPtI2.

uncorrected formation energy = 0.25 eV per atom

Lattice parameters (Å, degrees): 5.604 4.962 5.604 90.00 90.00 90.00
Sites, in units of the cell vectors:
I  0.000  0.000  0.500
I  0.500  0.000  0.000
Sc  0.000  0.000  0.000
Pd  0.500  0.500  0.500
Pt  0.000  0.500  0.000


DFT (PBE-GGA) results for an optimized crystal structure of SrSeBr.

uncorrected formation energy = -1.25 eV per atom

Lattice parameters (Å, degrees): 7.872 7.872 3.715 76.35 76.35 27.30
Sites, in units of the cell vectors:
Br  0.956  0.956  0.044
Se  0.704  0.704  0.296
Sr  0.340  0.340  0.660


DFT (PBE-GGA) results for an optimized crystal structure of MgAs.

energy above the lowest structure with this stoichiometry = 0.0656 eV per atom
formation enthalpy at 0 K = -0.3520 eV per atom

Lattice parameters (Å, degrees): 5.441 5.441 6.708 79.56 79.56 39.97
Sites, in units of the cell vectors:
Mg  0.349  0.349  0.318
Mg  0.016  0.016  0.610
Mg  0.198  0.198  0.958
As  0.916  0.916  0.002
As  0.740  0.740  0.623
As  0.614  0.614  0.322


DFT (PBE-GGA) results for an optimized crystal structure of SrTi2Sn2.

energy above the lowest structure with this stoichiometry = 0.0000 eV per atom
formation enthalpy at 0 K = -0.3020 eV per atom

Lattice parameters (Å, degrees): 4.487 4.487 7.156 71.73 71.73 90.00
Sites, in units of the cell vectors:
Sr  0.000  0.000  0.000
Sn  0.382  0.382  0.237
Sn  0.618  0.618  0.763
Ti  0.750  0.250  0.500
Ti  0.250  0.750  0.500


DFT (PBE-GGA) results for an optimized crystal structure of BeAgPb.

energy above the lowest structure with this stoichiometry = 0.0000 eV per atom
formation enthalpy at 0 K = 0.3543 eV per atom

Lattice parameters (Å, degrees): 4.380 4.380 4.380 60.00 60.00 60.00
Sites, in units of the cell vectors:
Pb  0.000  0.000  0.000
Be  0.750  0.750  0.750
Ag  0.500  0.500  0.500


DFT (PBE-GGA) results for an optimized crystal structure of La2Tb2Dy15.

formation enthalpy at 0 K = 0.2704 eV per atom

Lattice parameters (Å, degrees): 8.753 8.753 8.753 80.57 80.57 80.57
Sites, in units of the cell vectors:
La  0.670  0.670  0.670
La  0.330  0.330  0.330
Tb  0.904  0.904  0.904
Tb  0.096  0.096  0.096
Dy  0.000  0.500  0.000
Dy  0.000  0.000  0.500
Dy  0.500  0.000  0.000
Dy  0.297  0.000  0.703
Dy  0.703  0.297  0.000
Dy  0.000  0.703  0.297
Dy  0.297  0.703  0.000
Dy  0.000  0.297  0.703
Dy  0.703  0.000  0.297
Dy  0.365  0.850  0.365
Dy  0.365  0.365  0.850
Dy  0.850  0.365  0.365
Dy  0.635  0.150  0.635
Dy  0.635  0.635  0.150
Dy  0.150  0.635  0.635


| no. | magnetization (μB per atom) | calculated density (g/cm3) |
| --- | --- | --- |
| 1 | 0.000 | 5.595 |
| 2 | 0.188 | 8.567 |
| 3 | 0.116 | 6.397 |
| 4 | 0.090 | 3.996 |
| 5 | 0.000 | 3.949 |
| 6 | 0.342 | 5.410 |
| 7 | 0.000 | 9.057 |
| 8 | 0.032 | 7.796 |